1.
Here is a relaxed structure of Be2AlZn2 from the Alexandria database. Energies are from GGA-PBEsol.

It has space group P4/mbm (No. 127), with a = 7.024 Å, b = 7.024 Å, c = 2.512 Å, α = 90.00°, β = 90.00° and γ = 90.00°. The inequivalent atoms are Be at (0.114, 0.386, 0.000), Al at (0.000, 0.000, 0.000) and Zn at (0.182, 0.682, 0.500).

As for the total DFT energy (no corrections): -2.836 eV/atom. As for the energy relative to the lowest polymorph listed for this composition: 0.0 meV per atom. The calculation puts the formation energy at 104 kJ/mol of formula units. As for the volume: 123.9 Å³ per cell.

=====

2.
Here is a relaxed structure of Zr2BeAlZn from the Alexandria database. Energies are from GGA-PBEsol.

It has space group P4/mmm (No. 123), with a = 4.986 Å, b = 4.986 Å, c = 4.081 Å, α = 90.00°, β = 90.00° and γ = 90.00°. The inequivalent atoms are Zr at (0.000, 0.500, 0.000), Be at (0.000, 0.000, 0.500), Al at (0.000, 0.000, 0.000) and Zn at (0.500, 0.500, 0.500).

As for the total DFT energy (no corrections): -4.858 eV/atom. The calculation puts the formation energy at 344 kJ/mol of formula units. As for the volume: 101.5 Å³ per cell.

=====

3.
Here is a relaxed structure of ZrBe2Al from the Alexandria database. Energies are from GGA-PBEsol.

It has space group R-3m (No. 166, hexagonal axes), with a = 2.7807 Å, b = 2.7807 Å, c = 25.8142 Å, α = 90.00°, β = 90.00° and γ = 120.00°. The inequivalent atoms are Zr at (0.0000, 0.0000, 0.0000), Be at (0.0000, 0.0000, 0.2436) and Al at (0.0000, 0.0000, 0.5000).

As for the total DFT energy (no corrections): -4.966 eV/atom. The calculation puts the formation energy at 127 kJ/mol of formula units. As for the volume: 172.9 Å³ per cell.

=====

4.
Here is a relaxed structure of ZrBe2Al from the Alexandria database. Energies are from GGA-PBEsol.

It has space group R-3m (No. 166, hexagonal axes), with a = 3.8076 Å, b = 3.8076 Å, c = 13.2390 Å, α = 90.00°, β = 90.00° and γ = 120.00°. The inequivalent atoms are Zr at (0.0000, 0.0000, 0.0000), Be at (0.0000, 0.0000, 0.2073) and Al at (0.0000, 0.0000, 0.5000).

As for the total DFT energy (no corrections): -5.445 eV/atom. The calculation puts the formation energy at -58 kJ/mol of formula units. As for the volume: 166.2 Å³ per cell.

=====

5.
Here is a relaxed structure of ZrBe2Al from the Alexandria database. Energies are from GGA-PBEsol.

It has space group P4mm (No. 99), with a = 2.877 Å, b = 2.877 Å, c = 6.579 Å, α = 90.00°, β = 90.00° and γ = 90.00°. The inequivalent atoms are Zr at (0.000, 0.000, 0.000), Be at (0.000, 0.000, 0.564), Be at (0.500, 0.500, 0.713) and Al at (0.500, 0.500, 0.325).

As for the total DFT energy (no corrections): -5.336 eV/atom. The calculation puts the formation energy at -16 kJ/mol of formula units. As for the volume: 54.4 Å³ per cell.

=====

6.
Here is a relaxed structure of Zr2Be2Al from the Alexandria database. Energies are from GGA-PBEsol.

It has space group P4/mbm (No. 127), with a = 6.340 Å, b = 6.340 Å, c = 3.841 Å, α = 90.00°, β = 90.00° and γ = 90.00°. The inequivalent atoms are Zr at (0.171, 0.329, 0.000), Be at (0.122, 0.622, 0.500) and Al at (0.000, 0.000, 0.500).

As for the total DFT energy (no corrections): -6.382 eV/atom. The calculation puts the formation energy at -158 kJ/mol of formula units. As for the volume: 154.4 Å³ per cell.

=====

7.
Here is a relaxed structure of Al2BiBr from the Alexandria database. Energies are from GGA-PBEsol.

It has space group I-42d (No. 122), with a = 5.513 Å, b = 5.513 Å, c = 15.832 Å, α = 90.00°, β = 90.00° and γ = 90.00°. The inequivalent atoms are Al at (0.222, 0.250, 0.125), Bi at (0.000, 0.000, 0.500) and Br at (0.000, 0.000, 0.000).

As for the total DFT energy (no corrections): -3.306 eV/atom. As for the volume: 481.3 Å³ per cell. Its raw formation energy is 0.279 eV/atom.

=====

8.
Here is a relaxed structure of AlBi2Se2BrCl4 from the Alexandria database. Energies are from GGA-PBEsol.

It has space group P-1 (No. 2), with a = 6.839 Å, b = 8.179 Å, c = 11.354 Å, α = 69.00°, β = 72.62° and γ = 72.56°. The inequivalent atoms are Al at (0.167, 0.229, 0.460), Bi at (0.274, 0.122, 0.124), Bi at (0.274, 0.614, 0.131), Se at (0.434, 0.709, 0.866), Se at (0.442, 0.209, 0.858), Br at (0.000, 0.000, 0.000), Br at (0.000, 0.500, 0.000), Cl at (0.047, 0.155, 0.665), Cl at (0.053, 0.651, 0.665), Cl at (0.340, 0.988, 0.406) and Cl at (0.350, 0.427, 0.411).

As for the total DFT energy (no corrections): -3.988 eV/atom. As for the volume: 552.4 Å³ per cell. Its raw formation energy is -0.962 eV/atom.

=====

9.
Here is a relaxed structure of Al2BiC2 from the Alexandria database. Energies are from GGA-PBEsol.

It has space group I4/mmm (No. 139), with a = 3.899 Å, b = 3.899 Å, c = 9.639 Å, α = 90.00°, β = 90.00° and γ = 90.00°. The inequivalent atoms are Al at (0.000, 0.000, 0.176), Bi at (0.000, 0.000, 0.500) and C at (0.000, 0.500, 0.250).

As for the total DFT energy (no corrections): -5.365 eV/atom. The calculation puts the formation energy at 476 kJ/mol of formula units. As for the volume: 146.5 Å³ per cell.

=====

10.
Here is a relaxed structure of Ca5Al2Bi6 from the Alexandria database. Energies are from GGA-PBEsol.

It has space group Pbam (No. 55), with a = 7.588 Å, b = 23.580 Å, c = 4.588 Å, α = 90.00°, β = 90.00° and γ = 90.00°. The inequivalent atoms are Ca at (0.000, 0.000, 0.000), Ca at (0.035, 0.411, 0.000), Ca at (0.229, 0.245, 0.000), Al at (0.182, 0.121, 0.500), Bi at (0.011, 0.688, 0.500), Bi at (0.037, 0.864, 0.000) and Bi at (0.207, 0.503, 0.500).

As for the total DFT energy (no corrections): -4.055 eV/atom. The calculation puts the formation energy at -787 kJ/mol of formula units. As for the volume: 820.9 Å³ per cell.

=====

11.
Here is a relaxed structure of Al2CdBi from the Alexandria database. Energies are from GGA-PBEsol.

It has space group I-42d (No. 122), with a = 7.912 Å, b = 7.912 Å, c = 5.953 Å, α = 90.00°, β = 90.00° and γ = 90.00°. The inequivalent atoms are Al at (0.245, 0.750, 0.125), Cd at (0.000, 0.000, 0.000) and Bi at (0.000, 0.000, 0.500).

As for the total DFT energy (no corrections): -3.151 eV/atom. The calculation puts the formation energy at 102 kJ/mol of formula units. As for the volume: 372.7 Å³ per cell.

=====

12.
Here is a relaxed structure of RbAlCdBi2 from the Alexandria database. Energies are from GGA-PBEsol.

It has space group P4/mmm (No. 123), with a = 5.640 Å, b = 5.640 Å, c = 6.063 Å, α = 90.00°, β = 90.00° and γ = 90.00°. The inequivalent atoms are Rb at (0.000, 0.000, 0.000), Al at (0.500, 0.500, 0.000), Cd at (0.000, 0.000, 0.500) and Bi at (0.000, 0.500, 0.500).

As for the total DFT energy (no corrections): -2.443 eV/atom. The calculation puts the formation energy at 258 kJ/mol of formula units. As for the volume: 192.8 Å³ per cell.

=====

13.
Here is a relaxed structure of TiAlCd2Bi from the Alexandria database. Energies are from GGA-PBEsol.

It has space group P4/mmm (No. 123), with a = 5.523 Å, b = 5.523 Å, c = 5.322 Å, α = 90.00°, β = 90.00° and γ = 90.00°. The inequivalent atoms are Ti at (0.000, 0.000, 0.000), Al at (0.500, 0.500, 0.000), Cd at (0.000, 0.500, 0.500) and Bi at (0.500, 0.500, 0.500).

As for the total DFT energy (no corrections): -2.562 eV/atom. The calculation puts the formation energy at 606 kJ/mol of formula units. As for the volume: 162.3 Å³ per cell.

=====

14.
Here is a relaxed structure of Al3BiCl from the Alexandria database. Energies are from GGA-PBEsol.

It has space group Pm-3m (No. 221), with a = 4.963 Å, b = 4.963 Å, c = 4.963 Å, α = 90.00°, β = 90.00° and γ = 90.00°. The inequivalent atoms are Al at (0.000, 0.000, 0.500), Bi at (0.500, 0.500, 0.500) and Cl at (0.000, 0.000, 0.000).

As for the total DFT energy (no corrections): -3.264 eV/atom. As for the volume: 122.2 Å³ per cell. Its raw formation energy is 0.450 eV/atom.

=====

15.
Here is a relaxed structure of AlBiSCl4 from the Alexandria database. Energies are from GGA-PBEsol.

It has space group I-4 (No. 82), with a = 11.758 Å, b = 11.758 Å, c = 11.164 Å, α = 90.00°, β = 90.00° and γ = 90.00°. The inequivalent atoms are Al at (0.073, 0.195, 0.292), Bi at (0.063, 0.344, 0.634), S at (0.056, 0.359, 0.874), Cl at (0.055, 0.365, 0.368), Cl at (0.087, 0.870, 0.237), Cl at (0.105, 0.842, 0.565) and Cl at (0.182, 0.195, 0.137).

As for the total DFT energy (no corrections): -4.111 eV/atom. As for the volume: 1543.4 Å³ per cell. Its raw formation energy is -1.141 eV/atom.

=====

16.
Here is a relaxed structure of AlBiTeCl4 from the Alexandria database. Energies are from GGA-PBEsol.

It has space group I-4 (No. 82), with a = 12.161 Å, b = 12.161 Å, c = 11.553 Å, α = 90.00°, β = 90.00° and γ = 90.00°. The inequivalent atoms are Al at (0.074, 0.302, 0.453), Bi at (0.061, 0.166, 0.123), Te at (0.058, 0.158, 0.862), Cl at (0.052, 0.137, 0.383), Cl at (0.079, 0.631, 0.507), Cl at (0.110, 0.652, 0.187) and Cl at (0.183, 0.299, 0.600).

As for the total DFT energy (no corrections): -3.938 eV/atom. As for the volume: 1708.5 Å³ per cell. Its raw formation energy is -1.090 eV/atom.

=====

17.
Here is a relaxed structure of Al3CoBi from the Alexandria database. Energies are from GGA-PBEsol.

It has space group Pm-3m (No. 221), with a = 5.368 Å, b = 5.368 Å, c = 5.368 Å, α = 90.00°, β = 90.00° and γ = 90.00°. The inequivalent atoms are Al at (0.000, 0.000, 0.500), Co at (0.500, 0.500, 0.500) and Bi at (0.000, 0.000, 0.000).

As for the total DFT energy (no corrections): -3.129 eV/atom. The calculation puts the formation energy at 835 kJ/mol of formula units. As for the volume: 154.7 Å³ per cell.

=====

18.
Here is a relaxed structure of AlCoBi2Pt from the Alexandria database. Energies are from GGA-PBEsol.

It has space group P4/mmm (No. 123), with a = 5.284 Å, b = 5.284 Å, c = 4.527 Å, α = 90.00°, β = 90.00° and γ = 90.00°. The inequivalent atoms are Al at (0.000, 0.000, 0.000), Co at (0.500, 0.500, 0.500), Bi at (0.000, 0.500, 0.000) and Pt at (0.000, 0.000, 0.500).

As for the total DFT energy (no corrections): -4.416 eV/atom. The calculation puts the formation energy at 510 kJ/mol of formula units. As for the volume: 126.4 Å³ per cell.

=====

19.
Here is a relaxed structure of AlCrBi3 from the Alexandria database. Energies are from GGA-PBEsol.

It has space group Pm-3m (No. 221), with a = 5.173 Å, b = 5.173 Å, c = 5.173 Å, α = 90.00°, β = 90.00° and γ = 90.00°. The inequivalent atoms are Al at (0.000, 0.000, 0.000), Cr at (0.500, 0.500, 0.500) and Bi at (0.000, 0.500, 0.500).

As for the total DFT energy (no corrections): -4.808 eV/atom. The calculation puts the formation energy at 304 kJ/mol of formula units. As for the volume: 138.4 Å³ per cell.

=====

20.
Here is a relaxed structure of AlCr2Bi2 from the Alexandria database. Energies are from GGA-PBEsol.

It has space group I4/mmm (No. 139), with a = 3.313 Å, b = 3.313 Å, c = 19.244 Å, α = 90.00°, β = 90.00° and γ = 90.00°. The inequivalent atoms are Al at (0.000, 0.000, 0.000), Cr at (0.000, 0.500, 0.250) and Bi at (0.000, 0.000, 0.370).

As for the total DFT energy (no corrections): -6.061 eV/atom. The calculation puts the formation energy at 274 kJ/mol of formula units. As for the volume: 211.2 Å³ per cell.